No. 1
Entry from Alexandria via LeMat-Bulk: an optimized crystal structure of Y8Ge3Te4Au (PBE-GGA).

## Properties
* spin magnetization: 0.0 μB per formula unit
* formation energy without anion corrections: -1.16 eV per atom
* ρ: 6.10 g/cm3

a = 8.5030 Å, b = 8.5030 Å, c = 21.3369 Å
α = 90.00°, β = 90.00°, γ = 120.00°
Space group R-3m (No. 166, hexagonal axes)
Inequivalent atoms, fractional coordinates:
1 Y 0.0000 0.0000 0.2397 [6 per cell]
2 Y 0.0085 0.5042 0.7583 [18 per cell]
3 Ge 0.0000 0.5000 0.5000 [9 per cell]
4 Te 0.0000 0.0000 0.0000 [3 per cell]
5 Te 0.0000 0.5000 0.0000 [9 per cell]
6 Au 0.0000 0.0000 0.5000 [3 per cell]

No. 2
Entry from Alexandria via LeMat-Bulk: an optimized crystal structure of Th2GeAu (PBE-GGA).

## Properties
* spin magnetization: 0.0 μB per formula unit
* energy of formation: -0.67 eV per atom
* ρ: 11.66 g/cm3

a = 6.147 Å, b = 4.225 Å, c = 8.613 Å
α = 90.00°, β = 110.89°, γ = 90.00°
Space group P2_1/m (No. 11)
Inequivalent atoms, fractional coordinates:
1 Th 0.211 0.250 0.422 [2 per cell]
2 Th 0.213 0.250 0.932 [2 per cell]
3 Ge 0.329 0.750 0.707 [2 per cell]
4 Au 0.354 0.750 0.213 [2 per cell]

No. 3
Entry from Alexandria via LeMat-Bulk: an optimized crystal structure of ThGe2Au4 (PBE-GGA).

## Properties
* spin magnetization: 0.0 μB per formula unit
* energy of formation: -0.32 eV per atom
* ρ: 13.72 g/cm3

a = 8.059 Å, b = 8.059 Å, c = 4.342 Å
α = 90.00°, β = 90.00°, γ = 90.00°
Space group P4_2/mnm (No. 136)
Inequivalent atoms, fractional coordinates:
1 Th 0.000 0.000 0.000 [2 per cell]
2 Ge 0.223 0.223 0.500 [4 per cell]
3 Au 0.078 0.672 0.500 [8 per cell]

No. 4
Entry from Alexandria via LeMat-Bulk: an optimized crystal structure of Th2GeAu (PBE-GGA).

## Properties
* spin magnetization: 0.0 μB per formula unit
* energy of formation: -0.60 eV per atom
* ρ: 10.77 g/cm3

a = 4.1765 Å, b = 4.1765 Å, c = 22.4745 Å
α = 90.00°, β = 90.00°, γ = 120.00°
Space group R-3m (No. 166, hexagonal axes)
Inequivalent atoms, fractional coordinates:
1 Th 0.0000 0.0000 0.2460 [6 per cell]
2 Ge 0.0000 0.0000 0.5000 [3 per cell]
3 Au 0.0000 0.0000 0.0000 [3 per cell]

No. 5
Entry from Alexandria via LeMat-Bulk: an optimized crystal structure of ThGeAu (PBE-GGA).

## Properties
* spin magnetization: 0.0 μB per formula unit
* energy of formation: -0.58 eV per atom
* ρ: 11.56 g/cm3

a = 4.435 Å, b = 11.217 Å, c = 5.794 Å
α = 90.00°, β = 90.00°, γ = 90.00°
Space group Cmcm (No. 63)
Inequivalent atoms, fractional coordinates:
1 Th 0.000 0.131 0.250 [4 per cell]
2 Ge 0.000 0.183 0.750 [4 per cell]
3 Au 0.000 0.439 0.250 [4 per cell]

No. 6
Entry from Alexandria via LeMat-Bulk: an optimized crystal structure of Th2GeAu (PBE-GGA).

## Properties
* spin magnetization: 0.0 μB per formula unit
* energy of formation: -0.58 eV per atom
* ρ: 12.08 g/cm3

a = 3.794 Å, b = 3.794 Å, c = 7.006 Å
α = 90.00°, β = 90.00°, γ = 90.00°
Space group P4/mmm (No. 123)
Inequivalent atoms, fractional coordinates:
1 Th 0.000 0.000 0.237 [2 per cell]
2 Ge 0.500 0.500 0.000 [1 per cell]
3 Au 0.500 0.500 0.500 [1 per cell]

No. 7
Entry from Alexandria via LeMat-Bulk: an optimized crystal structure of Th2GeAu3 (PBE-GGA).

## Properties
* spin magnetization: 0.0 μB per formula unit
* energy of formation: -0.70 eV per atom
* ρ: 13.63 g/cm3

a = 3.576 Å, b = 4.715 Å, c = 8.151 Å
α = 90.00°, β = 90.00°, γ = 90.00°
Space group Pmm2 (No. 25)
Inequivalent atoms, fractional coordinates:
1 Th 0.000 0.000 0.000 [1 per cell]
2 Th 0.000 0.500 0.494 [1 per cell]
3 Ge 0.500 0.500 0.828 [1 per cell]
4 Au 0.500 0.000 0.332 [1 per cell]
5 Au 0.500 0.000 0.672 [1 per cell]
6 Au 0.500 0.500 0.154 [1 per cell]

No. 8
Entry from Alexandria via LeMat-Bulk: an optimized crystal structure of ThGeAu3 (PBE-GGA).

## Properties
* spin magnetization: 0.0 μB per formula unit
* energy of formation: -0.49 eV per atom
* ρ: 14.13 g/cm3

a = 8.086 Å, b = 6.649 Å, c = 4.941 Å
α = 90.00°, β = 127.59°, γ = 90.00°
Space group Cm (No. 8)
Inequivalent atoms, fractional coordinates:
1 Th 0.000 0.000 0.000 [2 per cell]
2 Ge 0.196 0.500 0.198 [2 per cell]
3 Au 0.307 0.000 0.806 [2 per cell]
4 Au 0.491 0.208 0.491 [4 per cell]

No. 9
Entry from Alexandria via LeMat-Bulk: an optimized crystal structure of Th3Ge4Au2 (PBE-GGA).

## Properties
* spin magnetization: 0.0 μB per formula unit
* energy of formation: -0.69 eV per atom
* ρ: 11.08 g/cm3

a = 11.275 Å, b = 4.412 Å, c = 8.513 Å
α = 90.00°, β = 102.33°, γ = 90.00°
Space group C2/m (No. 12)
Inequivalent atoms, fractional coordinates:
1 Th 0.000 0.000 0.000 [2 per cell]
2 Th 0.166 0.500 0.674 [4 per cell]
3 Ge 0.077 0.000 0.413 [4 per cell]
4 Ge 0.232 0.500 0.062 [4 per cell]
5 Au 0.096 0.500 0.267 [4 per cell]

No. 10
Entry from Alexandria via LeMat-Bulk: an optimized crystal structure of ThGeAu (PBE-GGA).

## Properties
* spin magnetization: 0.0 μB per formula unit
* energy of formation: -0.74 eV per atom
* ρ: 12.00 g/cm3

a = 4.4684 Å, b = 4.4684 Å, c = 12.0428 Å
α = 90.00°, β = 90.00°, γ = 120.00°
Space group P-6m2 (No. 187)
Inequivalent atoms, fractional coordinates:
1 Th 0.0000 0.0000 0.0000 [1 per cell]
2 Th 0.0000 0.0000 0.3335 [2 per cell]
3 Ge 0.3333 0.6667 0.1848 [2 per cell]
4 Ge 0.6667 0.3333 0.5000 [1 per cell]
5 Au 0.3333 0.6667 0.5000 [1 per cell]
6 Au 0.6667 0.3333 0.1436 [2 per cell]

No. 11
Entry from Alexandria via LeMat-Bulk: an optimized crystal structure of ThGe2Au (PBE-GGA).

## Properties
* spin magnetization: 0.0 μB per formula unit
* energy of formation: -0.53 eV per atom
* ρ: 10.89 g/cm3

a = 4.310 Å, b = 4.310 Å, c = 18.849 Å
α = 90.00°, β = 90.00°, γ = 90.00°
Space group I4/mmm (No. 139)
Inequivalent atoms, fractional coordinates:
1 Th 0.000 0.000 0.116 [4 per cell]
2 Ge 0.000 0.000 0.347 [4 per cell]
3 Ge 0.000 0.500 0.000 [4 per cell]
4 Au 0.000 0.500 0.250 [4 per cell]

No. 12
Entry from Alexandria via LeMat-Bulk: an optimized crystal structure of Th2Ge2Au3 (PBE-GGA).

## Properties
* spin magnetization: 0.0 μB per formula unit
* polymorph energy (0 for the lowest one): 0.0 meV per atom
* energy of formation: -0.58 eV per atom
* ρ: 12.88 g/cm3

a = 10.609 Å, b = 4.406 Å, c = 6.999 Å
α = 90.00°, β = 108.97°, γ = 90.00°
Space group C2/m (No. 12)
Inequivalent atoms, fractional coordinates:
1 Th 0.144 0.000 0.268 [4 per cell]
2 Ge 0.153 0.000 0.732 [4 per cell]
3 Au 0.000 0.500 0.500 [2 per cell]
4 Au 0.107 0.500 0.929 [4 per cell]

No. 13
Entry from Alexandria via LeMat-Bulk: an optimized crystal structure of ThGeAu (PBE-GGA).

## Properties
* spin magnetization: 0.0 μB per formula unit
* energy of formation: -0.40 eV per atom
* ρ: 11.45 g/cm3

a = 4.054 Å, b = 4.054 Å, c = 8.857 Å
α = 90.00°, β = 90.00°, γ = 90.00°
Space group I4mm (No. 107)
Inequivalent atoms, fractional coordinates:
1 Th 0.000 0.000 0.000 [2 per cell]
2 Ge 0.000 0.000 0.648 [2 per cell]
3 Au 0.000 0.000 0.335 [2 per cell]

No. 14
Entry from Alexandria via LeMat-Bulk: an optimized crystal structure of Th2GeAu3 (PBE-GGA).

## Properties
* spin magnetization: 0.0 μB per formula unit
* energy of formation: -0.60 eV per atom
* ρ: 12.89 g/cm3

a = 4.150 Å, b = 4.153 Å, c = 16.853 Å
α = 90.00°, β = 90.00°, γ = 90.00°
Space group Imm2 (No. 44)
Inequivalent atoms, fractional coordinates:
1 Th 0.000 0.000 0.000 [2 per cell]
2 Th 0.000 0.500 0.234 [2 per cell]
3 Ge 0.000 0.000 0.573 [2 per cell]
4 Au 0.000 0.000 0.419 [2 per cell]
5 Au 0.000 0.500 0.656 [2 per cell]
6 Au 0.000 0.500 0.817 [2 per cell]

No. 15
Entry from Alexandria via LeMat-Bulk: an optimized crystal structure of Th7Ge2Au2 (PBE-GGA).

## Properties
* spin magnetization: 0.0 μB per formula unit
* energy of formation: -0.17 eV per atom
* ρ: 11.03 g/cm3

a = 8.190 Å, b = 10.880 Å, c = 7.312 Å
α = 90.00°, β = 90.00°, γ = 90.00°
Space group Cmmm (No. 65)
Inequivalent atoms, fractional coordinates:
1 Th 0.000 0.000 0.000 [2 per cell]
2 Th 0.000 0.500 0.258 [4 per cell]
3 Th 0.250 0.250 0.281 [8 per cell]
4 Ge 0.000 0.276 0.000 [4 per cell]
5 Au 0.171 0.000 0.500 [4 per cell]

No. 16
Entry from Alexandria via LeMat-Bulk: an optimized crystal structure of ThGeAu2 (PBE-GGA).

## Properties
* spin magnetization: 0.0 μB per formula unit
* energy of formation: -0.51 eV per atom
* ρ: 13.05 g/cm3

a = 7.085 Å, b = 7.085 Å, c = 7.085 Å
α = 90.00°, β = 90.00°, γ = 90.00°
Space group Fm-3m (No. 225)
Inequivalent atoms, fractional coordinates:
1 Th 0.000 0.000 0.000 [4 per cell]
2 Ge 0.000 0.000 0.500 [4 per cell]
3 Au 0.250 0.250 0.250 [8 per cell]

No. 17
Entry from Alexandria via LeMat-Bulk: an optimized crystal structure of ThGe2Au (PBE-GGA).

## Properties
* spin magnetization: 0.0 μB per formula unit
* energy of formation: -0.28 eV per atom
* ρ: 10.80 g/cm3

a = 5.2595 Å, b = 5.2595 Å, c = 11.0541 Å
α = 90.00°, β = 90.00°, γ = 120.00°
Space group R-3m (No. 166, hexagonal axes)
Inequivalent atoms, fractional coordinates:
1 Th 0.0000 0.0000 0.0000 [3 per cell]
2 Ge 0.0000 0.0000 0.2670 [6 per cell]
3 Au 0.0000 0.0000 0.5000 [3 per cell]

No. 18
Entry from Alexandria via LeMat-Bulk: an optimized crystal structure of ThGeAu2 (PBE-GGA).

## Properties
* spin magnetization: 0.0 μB per formula unit
* energy of formation: -0.49 eV per atom
* ρ: 12.42 g/cm3

a = 4.6410 Å, b = 4.6410 Å, c = 10.0111 Å
α = 90.00°, β = 90.00°, γ = 120.00°
Space group P-3m1 (No. 164)
Inequivalent atoms, fractional coordinates:
1 Th 0.0000 0.0000 0.1937 [2 per cell]
2 Ge 0.3333 0.6667 0.6517 [2 per cell]
3 Au 0.3333 0.6667 0.3736 [2 per cell]
4 Au 0.3333 0.6667 0.9665 [2 per cell]

No. 19
Entry from Alexandria via LeMat-Bulk: an optimized crystal structure of Th2Ge2Au3 (PBE-GGA).

## Properties
* spin magnetization: 0.0 μB per formula unit
* polymorph energy (0 for the lowest one): 14.8 meV per atom
* energy of formation: -0.57 eV per atom
* ρ: 12.72 g/cm3

a = 11.149 Å, b = 4.371 Å, c = 6.468 Å
α = 90.00°, β = 96.08°, γ = 90.00°
Space group C2/m (No. 12)
Inequivalent atoms, fractional coordinates:
1 Th 0.130 0.000 0.319 [4 per cell]
2 Ge 0.086 0.500 0.649 [4 per cell]
3 Au 0.000 0.500 0.000 [2 per cell]
4 Au 0.201 0.000 0.845 [4 per cell]

No. 20
Entry from Alexandria via LeMat-Bulk: an optimized crystal structure of ThGeAu (PBE-GGA).

## Properties
* spin magnetization: 0.0 μB per formula unit
* energy of formation: -0.46 eV per atom
* ρ: 11.77 g/cm3

a = 3.476 Å, b = 16.674 Å, c = 4.885 Å
α = 90.00°, β = 90.00°, γ = 90.00°
Space group Cmcm (No. 63)
Inequivalent atoms, fractional coordinates:
1 Th 0.000 0.127 0.250 [4 per cell]
2 Ge 0.000 0.306 0.250 [4 per cell]
3 Au 0.000 0.463 0.250 [4 per cell]

No. 21
Entry from Alexandria via LeMat-Bulk: an optimized crystal structure of ThGe2Au (PBE-GGA).

## Properties
* spin magnetization: 0.0 μB per formula unit
* energy of formation: -0.48 eV per atom
* ρ: 10.97 g/cm3

a = 4.530 Å, b = 4.530 Å, c = 4.235 Å
α = 90.00°, β = 90.00°, γ = 90.00°
Space group P4/mmm (No. 123)
Inequivalent atoms, fractional coordinates:
1 Th 0.000 0.000 0.000 [1 per cell]
2 Ge 0.000 0.500 0.500 [2 per cell]
3 Au 0.500 0.500 0.000 [1 per cell]

No. 22
Entry from Alexandria via LeMat-Bulk: an optimized crystal structure of Th3Ge5Au6 (PBE-GGA).

## Properties
* spin magnetization: 0.0 μB per formula unit
* energy of formation: -0.53 eV per atom
* ρ: 12.62 g/cm3

a = 4.379 Å, b = 13.181 Å, c = 10.218 Å
α = 90.00°, β = 90.00°, γ = 90.00°
Space group Pmmn (No. 59, origin choice 2)
Inequivalent atoms, fractional coordinates:
1 Th 0.250 0.078 0.250 [4 per cell]
2 Th 0.250 0.750 0.248 [2 per cell]
3 Ge 0.250 0.088 0.864 [4 per cell]
4 Ge 0.250 0.617 0.521 [4 per cell]
5 Ge 0.250 0.750 0.799 [2 per cell]
6 Au 0.250 0.075 0.617 [4 per cell]
7 Au 0.250 0.250 0.022 [2 per cell]
8 Au 0.250 0.250 0.453 [2 per cell]
9 Au 0.250 0.592 0.990 [4 per cell]

No. 23
Entry from Alexandria via LeMat-Bulk: an optimized crystal structure of ThGeAu (PBE-GGA).

## Properties
* spin magnetization: 0.0 μB per formula unit
* energy of formation: -0.74 eV per atom
* ρ: 11.97 g/cm3

a = 4.4152 Å, b = 4.4152 Å, c = 4.1232 Å
α = 90.00°, β = 90.00°, γ = 120.00°
Space group P3m1 (No. 156)
Inequivalent atoms, fractional coordinates:
1 Th 0.0000 0.0000 0.0000 [1 per cell]
2 Ge 0.6667 0.3333 0.4534 [1 per cell]
3 Au 0.3333 0.6667 0.5568 [1 per cell]

No. 24
Entry from Alexandria via LeMat-Bulk: an optimized crystal structure of TmThGeAu (PBE-GGA).

## Properties
* spin magnetization: 0.0 μB per formula unit
* polymorph energy (0 for the lowest one): 0.0 meV per atom
* energy of formation: -0.76 eV per atom
* ρ: 11.21 g/cm3

a = 4.318 Å, b = 4.161 Å, c = 11.060 Å
α = 90.00°, β = 90.00°, γ = 90.00°
Space group Amm2 (No. 38)
Inequivalent atoms, fractional coordinates:
1 Tm 0.000 0.000 0.000 [2 per cell]
2 Th 0.500 0.000 0.278 [2 per cell]
3 Ge 0.000 0.000 0.719 [2 per cell]
4 Au 0.500 0.000 0.550 [2 per cell]

No. 25
Entry from Alexandria via LeMat-Bulk: an optimized crystal structure of TmThGeAu (PBE-GGA).

## Properties
* spin magnetization: 0.4 μB per formula unit
* polymorph energy (0 for the lowest one): 150.6 meV per atom
* energy of formation: -0.61 eV per atom
* ρ: 11.55 g/cm3

a = 7.278 Å, b = 7.278 Å, c = 7.278 Å
α = 90.00°, β = 90.00°, γ = 90.00°
Space group F-43m (No. 216)
Inequivalent atoms, fractional coordinates:
1 Tm 0.000 0.000 0.000 [4 per cell]
2 Th 0.000 0.000 0.500 [4 per cell]
3 Ge 0.250 0.250 0.750 [4 per cell]
4 Au 0.250 0.250 0.250 [4 per cell]